No. 1
Entry from the Alexandria database: crystalline ZrNbAsBr2 at its relaxed geometry (PBE-GGA).

Geometry as extended XYZ:
```
5
Lattice="4.850 0.000 0.000 0.000 4.850 0.000 0.000 0.000 5.885" Properties=species:S:1:pos:R:3 pbc="T T T"
Zr 0.000 0.000 0.000
Nb 0.000 0.000 2.942
As 2.425 2.425 0.000
Br 0.000 2.425 2.942
Br 2.425 0.000 2.942
```

Calculated values
- Spin magnetization: 0.12 μB per atom
- SG: P4/mmm, No. 123
- Polymorph energy (0 for the lowest one): 66 meV/atom
- Electronic total energy: -24.41 eV/cell
- Calculated volume: 27.68 Å³ per atom
- Formation energy from raw total energies: 0.44 eV per atom

No. 2
Entry from the Alexandria database: crystalline ZrNbAs2Br at its relaxed geometry (PBE-GGA).

Geometry as extended XYZ:
```
5
Lattice="5.194 0.000 0.000 0.000 5.194 0.000 0.000 0.000 5.137" Properties=species:S:1:pos:R:3 pbc="T T T"
Zr 0.000 0.000 0.000
Nb 2.597 2.597 2.568
As 0.000 2.597 0.000
As 2.597 0.000 0.000
Br 0.000 0.000 2.568
```

Calculated values
- Spin magnetization: 0.54 μB per atom
- SG: P4/mmm, No. 123
- Polymorph energy (0 for the lowest one): 176 meV/atom
- Electronic total energy: -26.93 eV/cell
- Calculated volume: 27.72 Å³ per atom
- Formation energy from raw total energies: 0.53 eV per atom

No. 3
Entry from the Alexandria database: crystalline Nd8As6Br at its relaxed geometry (PBE-GGA).

Geometry as extended XYZ:
```
15
Lattice="11.291 0.000 0.000 -5.645 9.778 0.000 0.000 0.000 4.390" Properties=species:S:1:pos:R:3 pbc="T T T"
Nd -1.666 3.600 1.121
Nd -1.695 9.420 1.121
Nd 0.000 6.519 3.279
Nd 2.285 3.243 3.268
Nd 3.360 6.535 1.121
Nd 5.645 3.259 1.111
Nd 7.340 0.358 3.268
Nd 7.311 6.178 3.268
As -2.154 6.511 1.078
As 1.084 4.657 1.078
As 4.575 1.390 3.311
As 1.070 8.388 1.078
As 4.561 5.121 3.311
As 7.800 3.267 3.311
Br 0.000 0.000 2.195
```

Calculated values
- Spin magnetization: 0.00 μB per atom
- SG: P-3, No. 147
- Electronic total energy: -85.72 eV/cell
- Calculated volume: 32.31 Å³ per atom
- Formation energy from raw total energies: -1.20 eV per atom

No. 4
Entry from the Alexandria database: crystalline Nd6As5Br at its relaxed geometry (PBE-GGA).

Geometry as extended XYZ:
```
12
Lattice="3.716 -6.424 0.000 3.716 6.424 0.000 -2.474 0.000 6.977" Properties=species:S:1:pos:R:3 pbc="T T T"
Nd -0.062 2.249 5.173
Nd 1.118 0.000 1.807
Nd -0.062 -2.249 5.173
Nd 5.020 2.249 1.804
Nd 3.840 0.000 5.170
Nd 5.020 -2.249 1.804
As -1.237 0.000 3.488
As 3.716 4.275 0.000
As 2.479 2.084 3.488
As 2.479 -2.084 3.488
As 3.716 -4.275 0.000
Br 3.716 0.000 0.000
```

Calculated values
- Spin magnetization: 0.00 μB per atom
- SG: C2/m, No. 12
- Electronic total energy: -71.91 eV/cell
- Calculated volume: 27.76 Å³ per atom
- Formation energy from raw total energies: -1.53 eV per atom

No. 5
Entry from the Alexandria database: crystalline Nd3As2Br at its relaxed geometry (PBE-GGA).

Geometry as extended XYZ:
```
12
Lattice="2.140 -7.759 0.000 2.140 7.759 0.000 0.000 0.000 11.896" Properties=species:S:1:pos:R:3 pbc="T T T"
Nd 2.140 7.613 8.922
Nd 2.140 2.025 0.112
Nd 2.140 2.025 5.835
Nd 2.140 -2.025 6.060
Nd 2.140 -2.025 11.783
Nd 2.140 -7.613 2.974
As 0.000 0.000 0.000
As 0.000 0.000 5.948
As 2.140 2.171 2.974
As 2.140 -2.171 8.922
Br 2.140 2.165 8.922
Br 2.140 -2.165 2.974
```

Calculated values
- Spin magnetization: 0.22 μB per atom
- SG: Cmcm, No. 63
- Electronic total energy: -64.23 eV/cell
- Calculated volume: 32.91 Å³ per atom
- Formation energy from raw total energies: -1.14 eV per atom

No. 6
Entry from the Alexandria database: crystalline NdAsBr at its relaxed geometry (PBE-GGA).

Geometry as extended XYZ:
```
12
Lattice="4.655 -5.485 0.000 4.655 5.485 0.000 -1.778 0.000 6.787" Properties=species:S:1:pos:R:3 pbc="T T T"
Nd 3.766 4.107 3.393
Nd 3.121 1.722 6.671
Nd 4.010 -1.722 3.278
Nd 4.655 -4.107 0.000
As 3.875 1.238 3.804
As 5.550 2.609 5.085
As 4.764 -1.238 0.411
As 6.439 -2.609 1.692
Br 0.386 1.088 4.827
Br 1.275 -1.088 1.433
Br 7.242 1.180 2.066
Br 6.353 -1.180 5.459
```

Calculated values
- Spin magnetization: 0.00 μB per atom
- SG: Cc, No. 9
- Electronic total energy: -59.90 eV/cell
- Calculated volume: 28.88 Å³ per atom
- Formation energy from raw total energies: -1.30 eV per atom